This record from Alexandria describes a relaxed AgSeIBr2 crystal. The functional is PBE-GGA.

Its uncorrected formation energy is 0.1804 eV/atom. The calculation puts the density at 4.72 Mg/m³. The crystal system is tetragonal. Its total moment is 0.0 μB per formula unit.

Unit cell a=5.338 b=5.843 c=5.338 alpha=90.00 beta=90.00 gamma=90.00
Atoms (fractional coordinates):
Br  0.500  0.000  0.000
Br  0.000  0.000  0.500
I  0.000  0.500  0.000
Ag  0.500  0.500  0.500
Se  0.000  0.000  0.000

=====

This record from Alexandria describes a relaxed LaPrSnN crystal. The functional is PBE-GGA.

Its uncorrected formation energy is -0.9760 eV/atom. The calculation puts the density at 6.35 Mg/m³. The crystal system is tetragonal. Its total moment is 0.0 μB per formula unit.

Unit cell a=4.803 b=4.803 c=9.345 alpha=90.00 beta=90.00 gamma=90.00
Atoms (fractional coordinates):
Pr  0.500  0.000  0.831
Pr  0.000  0.500  0.169
N  0.000  0.500  0.416
N  0.500  0.000  0.584
Sn  0.500  0.000  0.196
Sn  0.000  0.500  0.804
La  0.000  0.000  0.500
La  0.500  0.500  0.500

=====

This record from Alexandria describes a relaxed Nd4Dy3In crystal. The functional is PBE-GGA.

Its energy of formation is -0.09 eV per atom. The calculation puts the density at 7.68 Mg/m³. The crystal system is orthorhombic. Its total moment is 0.0 μB per formula unit.

Unit cell a=6.249 b=7.185 c=11.364 alpha=90.00 beta=90.00 gamma=90.00
Atoms (fractional coordinates):
Nd  0.989  0.134  0.771
Nd  0.489  0.866  0.729
Nd  0.120  0.866  0.500
Nd  0.989  0.134  0.229
Nd  0.620  0.134  0.000
Nd  0.674  0.129  0.500
Nd  0.174  0.871  0.000
Nd  0.489  0.866  0.271
Dy  0.151  0.374  0.500
Dy  0.471  0.386  0.254
Dy  0.471  0.386  0.746
Dy  0.971  0.614  0.754
Dy  0.971  0.614  0.246
Dy  0.651  0.626  0.000
In  0.152  0.394  0.000
In  0.652  0.606  0.500

=====

This record from Alexandria describes a relaxed NiGe3Rh6 crystal. The functional is PBE-GGA.

Its energy of formation is -0.26 eV per atom. The calculation puts the density at 10.33 Mg/m³. The crystal system is monoclinic. Its total moment is 1.6 μB per formula unit.

Unit cell a=4.007 b=8.133 c=9.061 alpha=103.19 beta=90.00 gamma=90.00
Last column: magnetic moment on the atom in μB.
Atoms (fractional coordinates):
Rh  0.250  0.632  0.681  0.06
Rh  0.750  0.368  0.319  0.06
Rh  0.250  0.107  0.896  0.12
Rh  0.750  0.731  0.485  0.17
Rh  0.750  0.564  0.899  0.05
Rh  0.750  0.882  0.782  0.25
Rh  0.250  0.269  0.515  0.17
Rh  0.250  0.810  0.291  0.23
Rh  0.750  0.893  0.104  0.12
Rh  0.750  0.190  0.709  0.23
Rh  0.250  0.118  0.218  0.25
Rh  0.250  0.436  0.101  0.05
Ge  0.750  0.625  0.184  -0.01
Ge  0.250  0.375  0.816  -0.01
Ge  0.750  0.454  0.604  -0.01
Ge  0.250  0.812  0.943  -0.01
Ge  0.250  0.546  0.396  -0.01
Ge  0.750  0.188  0.057  -0.01
Ni  0.250  0.962  0.590  0.81
Ni  0.750  0.038  0.410  0.81

=====

This record from Alexandria describes a relaxed CoRhCl crystal. The functional is PBE-GGA.

Its uncorrected formation energy is 0.6584 eV/atom. The calculation puts the density at 6.62 Mg/m³. The crystal system is cubic. Its total moment is 3.2 μB per formula unit.

Unit cell a=4.120 b=4.120 c=4.120 alpha=60.00 beta=60.00 gamma=60.00
Last column: magnetic moment on the atom in μB.
Atoms (fractional coordinates):
Rh  0.000  0.000  0.000  1.12
Co  0.750  0.750  0.750  1.96
Cl  0.500  0.500  0.500  0.12

=====

This record from Alexandria describes a relaxed Ca2Ga3Ag crystal. The functional is PBE-GGA.

Its energy of formation is -0.48 eV per atom. The calculation puts the density at 5.00 Mg/m³. The crystal system is monoclinic. Its total moment is 0.0 μB per formula unit.

Unit cell a=4.544 b=5.836 c=5.881 alpha=77.07 beta=67.28 gamma=67.09
Atoms (fractional coordinates):
Ga  0.835  0.606  0.723
Ga  0.161  0.791  0.887
Ga  0.838  0.219  0.105
Ag  0.165  0.383  0.287
Ca  0.543  0.209  0.705
Ca  0.458  0.791  0.292